## one
Below is a relaxed structure of YHf2Ge2, with properties calculated at the PBE-GGA level.

## Properties
Total magnetization = 0.00 μB per formula unit
Space group = I4/mmm, No. 139
Mass density = 8.243 g/cm3
D(E_F) = 6.6 states/eV/cell

Unit cell a=5.821 b=5.821 c=5.821 alpha=127.95 beta=127.95 gamma=76.71
Positions (direct):
1 Y 0.000 0.000 0.000
2 Hf 0.333 0.333 0.000
3 Hf 0.667 0.667 0.000
4 Ge 0.250 0.750 0.500
5 Ge 0.750 0.250 0.500


## two
Below is a relaxed structure of YHf2Ge2, with properties calculated at the PBE-GGA level.

## Properties
Total magnetization = 0.45 μB per formula unit
Space group = C2/c, No. 15
Mass density = 8.314 g/cm3
D(E_F) = 9.5 states/eV/cell

Unit cell a=7.025 b=7.025 c=5.652 alpha=109.57 beta=109.57 gamma=98.93
Positions (direct):
1 Y 0.109 0.891 0.750
2 Y 0.891 0.109 0.250
3 Hf 0.226 0.425 0.013
4 Hf 0.425 0.226 0.513
5 Hf 0.575 0.774 0.487
6 Hf 0.774 0.575 0.987
7 Ge 0.180 0.820 0.250
8 Ge 0.380 0.620 0.750
9 Ge 0.620 0.380 0.250
10 Ge 0.820 0.180 0.750


two (136 meV per atom below the next structure)


## one
Below is a relaxed structure of YHf2Ge2, with properties calculated at the PBE-GGA level.

## Properties
Total magnetization = 0.16 μB per formula unit
Space group = P4/mbm, No. 127
Mass density = 9.458 g/cm3
D(E_F) = 5.9 states/eV/cell

Unit cell a=8.234 b=8.234 c=3.062 alpha=90.00 beta=90.00 gamma=90.00
Positions (direct):
1 Y 0.000 0.000 0.000
2 Y 0.500 0.500 0.000
3 Hf 0.126 0.374 0.000
4 Hf 0.374 0.874 0.000
5 Hf 0.626 0.126 0.000
6 Hf 0.874 0.626 0.000
7 Ge 0.170 0.670 0.500
8 Ge 0.330 0.170 0.500
9 Ge 0.670 0.830 0.500
10 Ge 0.830 0.330 0.500


## two
Below is a relaxed structure of YHf2Ge2, with properties calculated at the PBE-GGA level.

## Properties
Total magnetization = 0.00 μB per formula unit
Space group = P4/mbm, No. 127
Mass density = 9.580 g/cm3
D(E_F) = 9.0 states/eV/cell

Unit cell a=7.461 b=7.461 c=3.681 alpha=90.00 beta=90.00 gamma=90.00
Positions (direct):
1 Y 0.000 0.000 0.000
2 Y 0.500 0.500 0.000
3 Hf 0.167 0.333 0.500
4 Hf 0.333 0.833 0.500
5 Hf 0.667 0.167 0.500
6 Hf 0.833 0.667 0.500
7 Ge 0.129 0.629 0.000
8 Ge 0.371 0.129 0.000
9 Ge 0.629 0.871 0.000
10 Ge 0.871 0.371 0.000


two (308 meV per atom below the next structure)


## one
Below is a relaxed structure of YHfGe2, with properties calculated at the PBE-GGA level.

## Properties
Total magnetization = 0.00 μB per formula unit
Space group = I-42d, No. 122
Mass density = 5.693 g/cm3
D(E_F) = 4.4 states/eV/cell

Unit cell a=8.417 b=8.417 c=8.417 alpha=140.35 beta=140.35 gamma=57.32
Positions (direct):
1 Y 0.000 0.000 0.000
2 Y 0.750 0.250 0.500
3 Hf 0.250 0.750 0.500
4 Hf 0.500 0.500 0.000
5 Ge 0.169 0.625 0.044
6 Ge 0.375 0.419 0.544
7 Ge 0.581 0.125 0.956
8 Ge 0.875 0.831 0.456


## two
Below is a relaxed structure of YHfGe2, with properties calculated at the PBE-GGA level.

## Properties
Total magnetization = 0.00 μB per formula unit
Space group = R-3m, No. 166
Mass density = 7.625 g/cm3
D(E_F) = 2.0 states/eV/cell

Unit cell a=7.047 b=7.047 c=7.047 alpha=32.51 beta=32.51 gamma=32.51
Positions (direct):
1 Y 0.000 0.000 0.000
2 Hf 0.500 0.500 0.500
3 Ge 0.243 0.243 0.243
4 Ge 0.757 0.757 0.757


two (810 meV per atom below the next structure)


## one
Below is a relaxed structure of Hf2ZnGe, with properties calculated at the PBE-GGA level.

## Properties
Total magnetization = 0.00 μB per formula unit
Space group = P2_1/m, No. 11
Mass density = 11.151 g/cm3
D(E_F) = 4.8 states/eV/cell

Unit cell a=5.402 b=3.776 c=7.695 alpha=90.00 beta=110.07 gamma=90.00
Positions (direct):
1 Hf 0.214 0.250 0.425
2 Hf 0.279 0.750 0.072
3 Hf 0.721 0.250 0.928
4 Hf 0.786 0.750 0.575
5 Zn 0.376 0.750 0.708
6 Zn 0.624 0.250 0.292
7 Ge 0.132 0.250 0.792
8 Ge 0.868 0.750 0.208


## two
Below is a relaxed structure of Hf2ZnGe, with properties calculated at the PBE-GGA level.

## Properties
Total magnetization = 0.00 μB per formula unit
Space group = Fm-3m, No. 225
Mass density = 11.163 g/cm3
D(E_F) = 4.9 states/eV/cell

Unit cell a=4.705 b=4.705 c=4.705 alpha=60.00 beta=60.00 gamma=60.00
Positions (direct):
1 Hf 0.250 0.250 0.250
2 Hf 0.750 0.750 0.750
3 Zn 0.000 0.000 0.000
4 Ge 0.500 0.500 0.500


## three
Below is a relaxed structure of Hf2ZnGe, with properties calculated at the PBE-GGA level.

## Properties
Total magnetization = 0.00 μB per formula unit
Space group = R-3m, No. 166
Mass density = 10.229 g/cm3
D(E_F) = 0.5 states/eV/cell

Unit cell a=7.099 b=7.099 c=7.099 alpha=30.23 beta=30.23 gamma=30.23
Positions (direct):
1 Hf 0.244 0.244 0.244
2 Hf 0.756 0.756 0.756
3 Zn 0.000 0.000 0.000
4 Ge 0.500 0.500 0.500


## four
Below is a relaxed structure of Hf2ZnGe, with properties calculated at the PBE-GGA level.

## Properties
Total magnetization = 0.00 μB per formula unit
Space group = I-42d, No. 122
Mass density = 10.405 g/cm3
D(E_F) = 6.9 states/eV/cell

Unit cell a=5.961 b=5.961 c=5.961 alpha=104.02 beta=104.02 gamma=121.03
Positions (direct):
1 Hf 0.121 0.625 0.996
2 Hf 0.375 0.371 0.496
3 Hf 0.629 0.125 0.004
4 Hf 0.875 0.879 0.504
5 Zn 0.250 0.750 0.500
6 Zn 0.500 0.500 0.000
7 Ge 0.000 0.000 0.000
8 Ge 0.750 0.250 0.500


one (253 meV per atom below the next structure)


## one
Below is a relaxed structure of HfZn3Ge, with properties calculated at the PBE-GGA level.

## Properties
Total magnetization = 0.00 μB per formula unit
Space group = Pm-3m, No. 221
Mass density = 7.285 g/cm3
D(E_F) = 2.5 states/eV/cell

Unit cell a=4.672 b=4.672 c=4.672 alpha=90.00 beta=90.00 gamma=90.00
Positions (direct):
1 Hf 0.000 0.000 0.000
2 Zn 0.000 0.500 0.500
3 Zn 0.500 0.000 0.500
4 Zn 0.500 0.500 0.000
5 Ge 0.500 0.500 0.500


## two
Below is a relaxed structure of HfZn3Ge, with properties calculated at the PBE-GGA level.

## Properties
Total magnetization = 0.00 μB per formula unit
Space group = Pm-3m, No. 221
Mass density = 5.428 g/cm3
D(E_F) = 5.5 states/eV/cell

Unit cell a=5.153 b=5.153 c=5.153 alpha=90.00 beta=90.00 gamma=90.00
Positions (direct):
1 Hf 0.000 0.000 0.000
2 Zn 0.000 0.000 0.500
3 Zn 0.000 0.500 0.000
4 Zn 0.500 0.000 0.000
5 Ge 0.500 0.500 0.500


one (427 meV per atom below the next structure)


## one
Below is a relaxed structure of Hf3ZnGe, with properties calculated at the PBE-GGA level.

## Properties
Total magnetization = 0.00 μB per formula unit
Space group = Pm-3m, No. 221
Mass density = 9.304 g/cm3
D(E_F) = 3.0 states/eV/cell

Unit cell a=4.935 b=4.935 c=4.935 alpha=90.00 beta=90.00 gamma=90.00
Positions (direct):
1 Hf 0.000 0.000 0.500
2 Hf 0.000 0.500 0.000
3 Hf 0.500 0.000 0.000
4 Zn 0.500 0.500 0.500
5 Ge 0.000 0.000 0.000


## two
Below is a relaxed structure of Hf3ZnGe, with properties calculated at the PBE-GGA level.

## Properties
Total magnetization = 0.00 μB per formula unit
Space group = C2/c, No. 15
Mass density = 10.809 g/cm3
D(E_F) = 11.6 states/eV/cell

Unit cell a=6.288 b=6.288 c=11.638 alpha=98.80 beta=98.80 gamma=66.17
Positions (direct):
1 Hf 0.089 0.191 0.813
2 Hf 0.176 0.370 0.596
3 Hf 0.191 0.089 0.313
4 Hf 0.205 0.773 0.973
5 Hf 0.227 0.795 0.527
6 Hf 0.370 0.176 0.096
7 Hf 0.630 0.824 0.904
8 Hf 0.773 0.205 0.473
9 Hf 0.795 0.227 0.027
10 Hf 0.809 0.911 0.687
11 Hf 0.824 0.630 0.404
12 Hf 0.911 0.809 0.187
13 Zn 0.303 0.492 0.326
14 Zn 0.492 0.303 0.826
15 Zn 0.508 0.697 0.174
16 Zn 0.697 0.508 0.674
17 Ge 0.000 0.500 0.000
18 Ge 0.292 0.708 0.750
19 Ge 0.500 0.000 0.500
20 Ge 0.708 0.292 0.250


two (526 meV per atom below the next structure)


## one
Below is a relaxed structure of HfZrGe2, with properties calculated at the PBE-GGA level.

## Properties
Total magnetization = 0.00 μB per formula unit
Space group = Pmc2_1, No. 26
Mass density = 9.186 g/cm3
D(E_F) = 1.1 states/eV/cell

Unit cell a=3.929 b=5.405 c=7.064 alpha=90.00 beta=90.00 gamma=90.00
Positions (direct):
1 Hf 0.000 0.116 0.000
2 Hf 0.000 0.884 0.500
3 Zr 0.500 0.382 0.353
4 Zr 0.500 0.618 0.853
5 Ge 0.000 0.406 0.628
6 Ge 0.000 0.594 0.128
7 Ge 0.500 0.095 0.726
8 Ge 0.500 0.905 0.226


## two
Below is a relaxed structure of HfZrGe2, with properties calculated at the PBE-GGA level.

## Properties
Total magnetization = 0.00 μB per formula unit
Space group = Pbcm, No. 57
Mass density = 8.496 g/cm3
D(E_F) = 2.8 states/eV/cell

Unit cell a=8.112 b=7.032 c=5.687 alpha=90.00 beta=90.00 gamma=90.00
Positions (direct):
1 Hf 0.125 0.082 0.250
2 Hf 0.125 0.418 0.750
3 Hf 0.875 0.582 0.250
4 Hf 0.875 0.918 0.750
5 Zr 0.375 0.585 0.250
6 Zr 0.375 0.915 0.750
7 Zr 0.625 0.085 0.250
8 Zr 0.625 0.415 0.750
9 Ge 0.123 0.750 0.000
10 Ge 0.123 0.750 0.500
11 Ge 0.372 0.250 0.000
12 Ge 0.372 0.250 0.500
13 Ge 0.628 0.750 0.000
14 Ge 0.628 0.750 0.500
15 Ge 0.877 0.250 0.000
16 Ge 0.877 0.250 0.500


## three
Below is a relaxed structure of HfZrGe2, with properties calculated at the PBE-GGA level.

## Properties
Total magnetization = 0.00 μB per formula unit
Space group = Fm-3m, No. 225
Mass density = 9.064 g/cm3
D(E_F) = 5.5 states/eV/cell

Unit cell a=4.755 b=4.755 c=4.755 alpha=60.00 beta=60.00 gamma=60.00
Positions (direct):
1 Hf 0.000 0.000 0.000
2 Zr 0.500 0.500 0.500
3 Ge 0.250 0.250 0.250
4 Ge 0.750 0.750 0.750


one (60 meV per atom below the next structure)


## one
Below is a relaxed structure of HfZrGe2, with properties calculated at the PBE-GGA level.

## Properties
Total magnetization = 0.00 μB per formula unit
Space group = I-42d, No. 122
Mass density = 8.533 g/cm3
D(E_F) = 0.7 states/eV/cell

Unit cell a=5.991 b=5.991 c=5.991 alpha=104.60 beta=104.60 gamma=119.73
Positions (direct):
1 Hf 0.000 0.000 0.000
2 Hf 0.750 0.250 0.500
3 Zr 0.250 0.750 0.500
4 Zr 0.500 0.500 0.000
5 Ge 0.123 0.125 0.498
6 Ge 0.375 0.877 0.002
7 Ge 0.627 0.625 0.502
8 Ge 0.875 0.373 0.998


## two
Below is a relaxed structure of HfZrGe2, with properties calculated at the PBE-GGA level.

## Properties
Total magnetization = 0.00 μB per formula unit
Space group = R-3m, No. 166
Mass density = 8.472 g/cm3
D(E_F) = 0.9 states/eV/cell

Unit cell a=6.634 b=6.634 c=6.634 alpha=33.99 beta=33.99 gamma=33.99
Positions (direct):
1 Hf 0.000 0.000 0.000
2 Zr 0.500 0.500 0.500
3 Ge 0.251 0.251 0.251
4 Ge 0.749 0.749 0.749


two (256 meV per atom below the next structure)